A) BeW3 | Alexandria | SCAN | PBEsol geometry; space group = Cmmm; density of states at the Fermi level = 1.2 states/eV per cell
1.0
1.618 -2.167 0.000
1.618 2.167 0.000
0.000 0.000 7.981
Be W
1 3
direct
0.000 0.000 0.000
0.000 0.000 0.500
0.500 0.500 0.222
0.500 0.500 0.778


B) BeW3 | Alexandria | SCAN | PBEsol geometry; space group = P2/m; density of states at the Fermi level = 1.5 states/eV per cell
1.0
2.664 0.000 0.000
0.000 4.343 0.000
-0.855 0.000 5.011
Be W
1 3
direct
0.000 0.000 0.000
0.239 0.500 0.754
0.500 0.000 0.500
0.761 0.500 0.246


C) BeW3 | Alexandria | SCAN | PBEsol geometry; space group = Pmmm; density of states at the Fermi level = 2.1 states/eV per cell
1.0
2.635 0.000 0.000
0.000 4.038 0.000
0.000 0.000 5.484
Be W
1 3
direct
0.000 0.000 0.000
0.000 0.000 0.500
0.500 0.500 0.234
0.500 0.500 0.766


D) BeW3 | Alexandria | SCAN | PBEsol geometry; space group = Pm-3m; density of states at the Fermi level = 1.5 states/eV per cell
1.0
3.850 0.000 0.000
0.000 3.850 0.000
0.000 0.000 3.850
Be W
1 3
direct
0.000 0.000 0.000
0.000 0.500 0.500
0.500 0.000 0.500
0.500 0.500 0.000


Q: Which of them is the most stable? A: A).


A) Be3W | Alexandria | SCAN | PBEsol geometry; space group = Pm-3n; density of states at the Fermi level = 1.2 states/eV per cell
1.0
4.364 0.000 0.000
0.000 4.364 0.000
0.000 0.000 4.364
Be W
6 2
direct
0.000 0.250 0.500
0.000 0.750 0.500
0.250 0.500 0.000
0.500 0.000 0.250
0.500 0.000 0.750
0.750 0.500 0.000
0.000 0.000 0.000
0.500 0.500 0.500


B) Be3W | Alexandria | SCAN | PBEsol geometry; space group = Fm-3m; density of states at the Fermi level = 1.4 states/eV per cell
1.0
0.000 2.729 2.729
2.729 0.000 2.729
2.729 2.729 0.000
Be W
3 1
direct
0.000 0.000 0.000
0.250 0.250 0.250
0.750 0.750 0.750
0.500 0.500 0.500


Q: Which of them is the most stable? A: B).


A) BeW2 | Alexandria | SCAN | PBEsol geometry; space group = P-3m1; density of states at the Fermi level = 1.0 states/eV per cell
1.0
4.298 0.000 0.000
-2.149 3.723 0.000
0.000 0.000 2.638
Be W
1 2
direct
0.000 0.000 0.000
0.333 0.667 0.664
0.667 0.333 0.336


B) BeW2 | Alexandria | SCAN | PBEsol geometry; space group = P6_3/mmc; density of states at the Fermi level = 3.5 states/eV per cell
1.0
4.257 0.000 0.000
-2.129 3.687 0.000
0.000 0.000 5.115
Be W
2 4
direct
0.333 0.667 0.250
0.667 0.333 0.750
0.000 0.000 0.000
0.000 0.000 0.500
0.333 0.667 0.750
0.667 0.333 0.250


Q: Which of them is the most stable? A: A).


A) YBe | Alexandria | SCAN | PBEsol geometry; space group = P6_3/mmc; density of states at the Fermi level = 2.0 states/eV per cell
1.0
4.685 0.000 0.000
-2.343 4.058 0.000
0.000 0.000 4.023
Y Be
2 2
direct
0.333 0.667 0.250
0.667 0.333 0.750
0.000 0.000 0.250
0.000 0.000 0.750


B) YBe | Alexandria | SCAN | PBEsol geometry; space group = P6_3/mmc; density of states at the Fermi level = 4.3 states/eV per cell
1.0
3.525 0.000 0.000
-1.763 3.053 0.000
0.000 0.000 8.160
Y Be
2 2
direct
0.000 0.000 0.000
0.000 0.000 0.500
0.333 0.667 0.250
0.667 0.333 0.750


Q: Which of them is the most stable? A: A).